Here is crystalline In8Sn3Hg2 at its relaxed geometry from Alexandria via LeMat-Bulk. Energies are from PBE.

Excess energy over the best structure of this formula in the dataset   0.32 eV per formula unit
Uncorrected energy   -2.581 eV per atom
Mass density   7.38 g/cm3
Energy of formation   0.074 eV/atom

a b c (Å): 7.144 9.078 7.460
angles (deg): 127.48 98.74 90.00
Fractional coordinates of all 13 atoms:
In1 0.771 0.621 0.242
In2 0.229 0.379 0.758
In3 0.796 0.233 0.466
In4 0.204 0.767 0.534
In5 0.569 0.582 0.751
In6 0.569 0.169 0.751
In7 0.431 0.831 0.249
In8 0.431 0.418 0.249
Sn1 0.500 0.000 0.000
Sn2 0.000 0.291 0.000
Sn3 0.000 0.709 0.000
Hg1 0.149 0.123 0.245
Hg2 0.851 0.877 0.755


Here is crystalline InSnHg2 at its relaxed geometry from Alexandria via LeMat-Bulk. Energies are from PBE.

Uncorrected energy   -1.793 eV per atom
Mass density   9.87 g/cm3
Energy of formation   0.043 eV/atom

a b c (Å): 3.596 3.596 9.757
angles (deg): 79.38 79.38 60.00
Fractional coordinates of all 4 atoms:
In1 0.667 0.667 0.000
Sn1 0.500 0.500 0.500
Hg1 0.082 0.082 0.753
Hg2 0.251 0.251 0.247


Here is crystalline In12SnHg16 at its relaxed geometry from Alexandria via LeMat-Bulk. Energies are from PBE.

Uncorrected energy   -1.420 eV per atom
Mass density   10.00 g/cm3
Energy of formation   0.018 eV/atom

a b c (Å): 9.703 9.703 9.694
angles (deg): 74.37 74.37 106.47
Fractional coordinates of all 29 atoms:
In1 0.820 0.820 0.831
In2 0.495 0.495 0.254
In3 0.432 0.225 0.997
In4 0.781 0.577 0.383
In5 0.192 0.985 0.611
In6 0.421 0.008 0.801
In7 0.210 0.831 0.179
In8 0.831 0.210 0.179
In9 0.008 0.421 0.801
In10 0.985 0.192 0.611
In11 0.577 0.781 0.383
In12 0.225 0.432 0.997
Sn1 0.574 0.574 0.722
Hg1 0.341 0.341 0.642
Hg2 0.084 0.084 0.939
Hg3 0.951 0.951 0.299
Hg4 0.215 0.215 0.307
Hg5 0.725 0.459 0.000
Hg6 0.578 0.232 0.445
Hg7 0.969 0.703 0.575
Hg8 0.011 0.705 0.009
Hg9 0.723 0.306 0.705
Hg10 0.435 0.012 0.299
Hg11 0.012 0.435 0.299
Hg12 0.306 0.723 0.705
Hg13 0.705 0.011 0.009
Hg14 0.703 0.969 0.575
Hg15 0.232 0.578 0.445
Hg16 0.459 0.725 0.000


Here is crystalline In8Sn3Hg2 at its relaxed geometry from Alexandria via LeMat-Bulk. Energies are from PBE.

Excess energy over the best structure of this formula in the dataset   0.00 eV per formula unit
Uncorrected energy   -2.606 eV per atom
Mass density   7.62 g/cm3
Energy of formation   0.049 eV/atom

a b c (Å): 5.125 9.274 9.322
angles (deg): 119.83 105.71 89.99
Fractional coordinates of all 13 atoms:
In1 0.311 0.554 0.108
In2 0.689 0.446 0.892
In3 0.239 0.169 0.339
In4 0.761 0.831 0.661
In5 0.309 0.093 0.685
In6 0.309 0.592 0.685
In7 0.691 0.408 0.315
In8 0.691 0.907 0.315
Sn1 0.500 0.000 0.000
Sn2 0.000 0.795 0.000
Sn3 0.000 0.205 0.000
Hg1 0.873 0.292 0.584
Hg2 0.127 0.708 0.416


Here is crystalline In5Sn2Hg4 at its relaxed geometry from Alexandria via LeMat-Bulk. Energies are from PBE.

Excess energy over the best structure of this formula in the dataset   0.00 eV per formula unit
Uncorrected energy   -2.047 eV per atom
Mass density   8.91 g/cm3
Energy of formation   0.035 eV/atom

a b c (Å): 4.561 6.521 20.224
angles (deg): 90.00 90.05 90.00
Fractional coordinates of all 22 atoms:
In1 0.000 0.500 0.000
In2 0.000 0.000 0.500
In3 0.000 0.336 0.186
In4 0.000 0.664 0.814
In5 0.000 0.836 0.314
In6 0.000 0.164 0.686
In7 0.000 0.419 0.402
In8 0.000 0.581 0.598
In9 0.000 0.919 0.098
In10 0.000 0.081 0.902
Sn1 0.500 0.493 0.281
Sn2 0.500 0.507 0.719
Sn3 0.500 0.993 0.219
Sn4 0.500 0.007 0.781
Hg1 0.500 0.304 0.543
Hg2 0.500 0.696 0.457
Hg3 0.500 0.804 0.957
Hg4 0.500 0.196 0.043
Hg5 0.500 0.397 0.877
Hg6 0.500 0.603 0.123
Hg7 0.500 0.897 0.623
Hg8 0.500 0.103 0.377


Here is crystalline InSn2Hg4 at its relaxed geometry from Alexandria via LeMat-Bulk. Energies are from PBE.

Excess energy over the best structure of this formula in the dataset   0.00 eV per formula unit
Uncorrected energy   -1.623 eV per atom
Mass density   8.91 g/cm3
Energy of formation   0.084 eV/atom

a b c (Å): 4.707 5.548 9.099
angles (deg): 89.83 90.00 115.10
Fractional coordinates of all 7 atoms:
Hg1 0.658 0.317 0.328
Hg2 0.342 0.683 0.672
Hg3 0.652 0.304 0.676
Hg4 0.348 0.696 0.324
Sn1 0.659 0.318 0.002
Sn2 0.341 0.682 0.998
In1 0.000 0.000 0.500


Here is crystalline InSnHg4 at its relaxed geometry from Alexandria via LeMat-Bulk. Energies are from PBE.

Excess energy over the best structure of this formula in the dataset   0.00 eV per formula unit
Uncorrected energy   -1.295 eV per atom
Mass density   10.51 g/cm3
Energy of formation   0.030 eV/atom

a b c (Å): 3.141 3.686 16.417
angles (deg): 90.00 59.48 90.00
Fractional coordinates of all 6 atoms:
In1 0.500 0.500 0.500
Sn1 0.500 0.000 0.000
Hg1 0.602 0.000 0.656
Hg2 0.030 0.500 0.826
Hg3 0.398 0.000 0.344
Hg4 0.970 0.500 0.174


Here is crystalline In8Sn3Hg3 at its relaxed geometry from Alexandria via LeMat-Bulk. Energies are from PBE.

Uncorrected energy   -2.439 eV per atom
Mass density   7.95 g/cm3
Energy of formation   0.049 eV/atom

a b c (Å): 4.172 9.934 9.934
angles (deg): 82.49 77.88 77.88
Fractional coordinates of all 14 atoms:
In1 0.669 0.017 0.645
In2 0.331 0.983 0.355
In3 0.669 0.645 0.017
In4 0.331 0.355 0.983
In5 0.876 0.746 0.502
In6 0.124 0.254 0.498
In7 0.876 0.502 0.746
In8 0.124 0.498 0.254
Sn1 0.500 0.000 0.000
Sn2 0.000 0.824 0.176
Sn3 0.000 0.176 0.824
Hg1 0.500 0.500 0.500
Hg2 0.785 0.215 0.215
Hg3 0.215 0.785 0.785


Here is crystalline InSn3Hg at its relaxed geometry from Alexandria via LeMat-Bulk. Energies are from PBE.

Excess energy over the best structure of this formula in the dataset   0.00 eV per formula unit
Uncorrected energy   -2.925 eV per atom
Mass density   7.63 g/cm3
Energy of formation   0.085 eV/atom

a b c (Å): 5.163 7.030 8.729
angles (deg): 83.10 90.00 111.54
Fractional coordinates of all 10 atoms:
In1 0.383 0.766 0.694
In2 0.617 0.234 0.306
Sn1 0.013 0.025 0.190
Sn2 0.987 0.975 0.810
Sn3 0.645 0.290 0.712
Sn4 0.355 0.710 0.288
Sn5 0.864 0.727 0.506
Sn6 0.136 0.273 0.494
Hg1 0.204 0.408 0.942
Hg2 0.796 0.592 0.058


Here is crystalline In3SnHg3 at its relaxed geometry from Alexandria via LeMat-Bulk. Energies are from PBE.

Excess energy over the best structure of this formula in the dataset   0.12 eV per formula unit
Uncorrected energy   -1.827 eV per atom
Mass density   8.94 g/cm3
Energy of formation   0.048 eV/atom

a b c (Å): 6.652 6.652 11.012
angles (deg): 72.42 72.42 60.00
Fractional coordinates of all 14 atoms:
In1 0.210 0.735 0.846
In2 0.735 0.210 0.846
In3 0.210 0.210 0.846
In4 0.790 0.790 0.154
In5 0.265 0.790 0.154
In6 0.790 0.265 0.154
Sn1 0.695 0.695 0.916
Sn2 0.305 0.305 0.084
Hg1 0.360 0.360 0.389
Hg2 0.891 0.360 0.389
Hg3 0.360 0.891 0.389
Hg4 0.640 0.109 0.611
Hg5 0.109 0.640 0.611
Hg6 0.640 0.640 0.611


Here is crystalline In5Sn2Hg6 at its relaxed geometry from Alexandria via LeMat-Bulk. Energies are from PBE.

Uncorrected energy   -1.768 eV per atom
Mass density   9.43 g/cm3
Energy of formation   0.040 eV/atom

a b c (Å): 4.040 10.746 16.342
angles (deg): 90.00 90.00 90.00
Fractional coordinates of all 26 atoms:
In1 0.500 0.342 0.428
In2 0.500 0.658 0.572
In3 0.500 0.842 0.072
In4 0.500 0.158 0.928
In5 0.500 0.584 0.260
In6 0.500 0.416 0.740
In7 0.500 0.084 0.240
In8 0.500 0.916 0.760
In9 0.500 0.500 0.000
In10 0.500 0.000 0.500
Sn1 0.000 0.354 0.268
Sn2 0.000 0.646 0.732
Sn3 0.000 0.854 0.232
Sn4 0.000 0.146 0.768
Hg1 0.000 0.111 0.383
Hg2 0.000 0.889 0.617
Hg3 0.000 0.611 0.117
Hg4 0.000 0.389 0.883
Hg5 0.500 0.304 0.121
Hg6 0.500 0.696 0.879
Hg7 0.500 0.804 0.379
Hg8 0.500 0.196 0.621
Hg9 0.000 0.586 0.420
Hg10 0.000 0.414 0.580
Hg11 0.000 0.086 0.080
Hg12 0.000 0.914 0.920


Here is crystalline In12Sn3Hg5 at its relaxed geometry from Alexandria via LeMat-Bulk. Energies are from PBE.

Uncorrected energy   -2.211 eV per atom
Mass density   6.93 g/cm3
Energy of formation   0.108 eV/atom

a b c (Å): 15.049 15.049 15.049
angles (deg): 109.47 109.47 109.47
Fractional coordinates of all 80 atoms:
Sn1 0.750 0.375 0.125
Sn2 0.875 0.750 0.125
Sn3 0.375 0.750 0.625
Sn4 0.250 0.125 0.375
Sn5 0.875 0.125 0.250
Sn6 0.375 0.625 0.250
Sn7 0.625 0.375 0.750
Sn8 0.125 0.875 0.750
Sn9 0.750 0.875 0.625
Sn10 0.625 0.250 0.375
Sn11 0.125 0.250 0.875
Sn12 0.250 0.625 0.875
Hg1 0.125 0.375 0.250
Hg2 0.000 0.500 0.000
Hg3 0.000 0.000 0.000
Hg4 0.375 0.250 0.125
Hg5 0.500 0.000 0.500
Hg6 0.500 0.500 0.000
Hg7 0.125 0.750 0.375
Hg8 0.750 0.125 0.875
Hg9 0.750 0.625 0.375
Hg10 0.375 0.125 0.750
Hg11 0.625 0.875 0.250
Hg12 0.500 0.500 0.500
Hg13 0.500 0.000 0.000
Hg14 0.000 0.000 0.500
Hg15 0.250 0.375 0.625
Hg16 0.250 0.875 0.125
Hg17 0.000 0.500 0.500
Hg18 0.875 0.250 0.625
Hg19 0.625 0.750 0.875
Hg20 0.875 0.625 0.750
In1 0.726 0.135 0.059
In2 0.333 0.559 0.424
In3 0.941 0.365 0.274
In4 0.559 0.226 0.135
In5 0.591 0.726 0.667
In6 0.941 0.576 0.167
In7 0.333 0.774 0.409
In8 0.076 0.909 0.135
In9 0.576 0.941 0.667
In10 0.726 0.591 0.167
In11 0.774 0.441 0.365
In12 0.833 0.924 0.059
In13 0.135 0.726 0.559
In14 0.365 0.424 0.091
In15 0.091 0.924 0.365
In16 0.409 0.135 0.576
In17 0.091 0.167 0.226
In18 0.441 0.667 0.076
In19 0.833 0.909 0.274
In20 0.135 0.409 0.076
In21 0.365 0.941 0.774
In22 0.576 0.635 0.409
In23 0.924 0.833 0.559
In24 0.774 0.333 0.909
In25 0.424 0.365 0.591
In26 0.076 0.167 0.441
In27 0.226 0.667 0.091
In28 0.167 0.091 0.726
In29 0.635 0.059 0.226
In30 0.865 0.591 0.924
In31 0.559 0.333 0.924
In32 0.591 0.865 0.424
In33 0.909 0.833 0.774
In34 0.909 0.076 0.635
In35 0.865 0.274 0.441
In36 0.167 0.076 0.941
In37 0.635 0.576 0.909
In38 0.424 0.059 0.333
In39 0.274 0.409 0.833
In40 0.226 0.559 0.635
In41 0.924 0.091 0.865
In42 0.667 0.226 0.591
In43 0.441 0.774 0.865
In44 0.059 0.424 0.833
In45 0.409 0.274 0.333
In46 0.059 0.635 0.726
In47 0.667 0.441 0.576
In48 0.274 0.865 0.941